Record 1
TaCu2Au: relaxed, PBE.

Values from the calculation:
Total energy: -68.52 eV per cell
Formation enthalpy at 0 K: 0.121 eV per atom
Excess energy over the best structure of this formula in the dataset: 94 meV per atom

Cell lengths 2.8422, 2.8422, 26.6599 Å; angles 90.00, 90.00, 120.00 degrees
Space group R-3m (No. 166, hexagonal axes)
Asymmetric unit:
Ta1 0.0000 0.0000 0.0000 (multiplicity 3)
Cu1 0.0000 0.0000 0.2496 (multiplicity 6)
Au1 0.0000 0.0000 0.5000 (multiplicity 3)

Record 2
NdPuCo2: relaxed, PBE.

Values from the calculation:
Total energy: -131.73 eV per cell
Formation enthalpy at 0 K: 0.095 eV per atom

Cell lengths 6.790, 6.790, 6.790 Å; angles 90.00, 90.00, 90.00 degrees
Space group Fm-3m (No. 225)
Asymmetric unit:
Nd1 0.000 0.000 0.000 (multiplicity 4)
Pu1 0.000 0.000 0.500 (multiplicity 4)
Co1 0.250 0.250 0.250 (multiplicity 8)

Record 3
Tb4PmHo: relaxed, PBE.

Values from the calculation:
Total energy: -104.93 eV per cell
Formation enthalpy at 0 K: 0.270 eV per atom
Excess energy over the best structure of this formula in the dataset: 254 meV per atom

Cell lengths 9.320, 9.320, 9.320 Å; angles 90.00, 90.00, 90.00 degrees
Space group F-43m (No. 216)
Asymmetric unit:
Tb1 0.125 0.125 0.125 (multiplicity 16)
Pm1 0.000 0.000 0.500 (multiplicity 4)
Ho1 0.250 0.250 0.750 (multiplicity 4)

Record 4
K2TlPt2O6: relaxed, PBE.

Values from the calculation:
Formation energy (no corrections): -0.83 eV/atom
Total energy: -111.11 eV per cell

Cell lengths 5.835, 9.943, 6.413 Å; angles 90.00, 108.12, 90.00 degrees
Space group C2/m (No. 12)
Asymmetric unit:
K1 0.000 0.168 0.000 (multiplicity 4)
Tl1 0.000 0.000 0.500 (multiplicity 2)
Pt1 0.000 0.336 0.500 (multiplicity 4)
O1 0.199 0.500 0.670 (multiplicity 4)
O2 0.226 0.184 0.668 (multiplicity 8)

Record 5
NiPW2: relaxed, PBE.

Values from the calculation:
Total energy: -73.22 eV per cell
Formation enthalpy at 0 K: 0.122 eV per atom

Cell lengths 3.332, 4.507, 7.495 Å; angles 90.00, 90.00, 90.00 degrees
Space group Cmm2 (No. 35)
Asymmetric unit:
Ni1 0.000 0.000 0.000 (multiplicity 2)
P1 0.000 0.500 0.192 (multiplicity 2)
W1 0.000 0.000 0.443 (multiplicity 2)
W2 0.000 0.500 0.731 (multiplicity 2)

Record 6
PaCu2Pt2: relaxed, PBE.

Values from the calculation:
Total energy: -63.67 eV per cell
Formation enthalpy at 0 K: -0.413 eV per atom
Excess energy over the best structure of this formula in the dataset: 102 meV per atom

Cell lengths 4.755, 6.643, 5.596 Å; angles 90.00, 90.00, 90.00 degrees
Space group Cmmm (No. 65)
Asymmetric unit:
Pa1 0.000 0.000 0.000 (multiplicity 2)
Cu1 0.000 0.175 0.500 (multiplicity 4)
Pt1 0.000 0.500 0.254 (multiplicity 4)

Record 7
AcSi3TcRh: relaxed, PBE.

Values from the calculation:
Formation energy (no corrections): -0.52 eV/atom
Total energy: -164.85 eV per cell

Cell lengths 6.308, 12.140, 6.290 Å; angles 90.00, 90.00, 90.00 degrees
Space group Cmcm (No. 63)
Asymmetric unit:
Ac1 0.000 0.250 0.250 (multiplicity 4)
Si1 0.000 0.213 0.750 (multiplicity 4)
Si2 0.207 0.500 0.000 (multiplicity 8)
Tc1 0.000 0.029 0.750 (multiplicity 4)
Rh1 0.000 0.397 0.750 (multiplicity 4)

Record 8
LiFeCu3: relaxed, PBE.

Values from the calculation:
Total energy: -18.79 eV per cell
Formation enthalpy at 0 K: 0.775 eV per atom
Excess energy over the best structure of this formula in the dataset: 0 meV per atom

Cell lengths 4.506, 4.506, 4.506 Å; angles 90.00, 90.00, 90.00 degrees
Space group Pm-3m (No. 221)
Asymmetric unit:
Li1 0.000 0.000 0.000 (multiplicity 1)
Fe1 0.500 0.500 0.500 (multiplicity 1)
Cu1 0.000 0.500 0.500 (multiplicity 3)

Record 9
Dy5Pa3As8: relaxed, PBE.

Values from the calculation:
Total energy: -330.89 eV per cell
Formation enthalpy at 0 K: -1.350 eV per atom

Cell lengths 8.2107, 8.2107, 20.0728 Å; angles 90.00, 90.00, 120.00 degrees
Space group R-3m (No. 166, hexagonal axes)
Asymmetric unit:
Dy1 0.0000 0.0000 0.0000 (multiplicity 3)
Dy2 0.0000 0.0000 0.5000 (multiplicity 3)
Dy3 0.0000 0.5000 0.0000 (multiplicity 9)
Pa1 0.0000 0.5000 0.5000 (multiplicity 9)
As1 0.0000 0.0000 0.2497 (multiplicity 6)
As2 0.0019 0.5009 0.7509 (multiplicity 18)

Record 10
Dy5BS4: relaxed, PBE.

Values from the calculation:
Formation energy (no corrections): -1.72 eV/atom
Total energy: -126.83 eV per cell

Cell lengths 8.727, 8.727, 5.494 Å; angles 90.00, 90.00, 90.00 degrees
Space group I4/m (No. 87)
Asymmetric unit:
Dy1 0.000 0.000 0.000 (multiplicity 2)
Dy2 0.093 0.720 0.500 (multiplicity 8)
B1 0.000 0.000 0.500 (multiplicity 2)
S1 0.096 0.697 0.000 (multiplicity 8)

Record 11
TaGe4W: relaxed, PBE.

Values from the calculation:
Total energy: -82.97 eV per cell
Formation enthalpy at 0 K: 0.299 eV per atom

Cell lengths 5.529, 7.932, 4.853 Å; angles 90.00, 106.10, 90.00 degrees
Space group P2_1/c (No. 14)
Asymmetric unit:
Ta1 0.000 0.000 0.000 (multiplicity 2)
Ge1 0.150 0.160 0.558 (multiplicity 4)
Ge2 0.357 0.666 0.958 (multiplicity 4)
W1 0.500 0.000 0.000 (multiplicity 2)

Record 12
NbBPd3: relaxed, PBE.

Values from the calculation:
Total energy: -23.35 eV per cell
Formation enthalpy at 0 K: 1.794 eV per atom
Excess energy over the best structure of this formula in the dataset: 1709 meV per atom

Cell lengths 4.849, 4.849, 4.849 Å; angles 90.00, 90.00, 90.00 degrees
Space group Pm-3m (No. 221)
Asymmetric unit:
Nb1 0.000 0.000 0.000 (multiplicity 1)
B1 0.500 0.500 0.500 (multiplicity 1)
Pd1 0.000 0.000 0.500 (multiplicity 3)